Dy2AgTe6Pb3 | Alexandria via LeMat-Bulk | PBE-GGA | optimized geometry; E_form (uncorrected) = -657 meV per atom; DOS at the Fermi energy = 3.7 states/eV per cell; symmetry = C2/m (12)
1.0
4.426 0.000 0.000
0.000 9.099 0.318
-2.213 -2.629 9.582
Pb Te Dy Ag
3 6 2 1
direct
0.842 0.153 0.684 Pb
0.158 0.847 0.316 Pb
0.500 0.500 0.000 Pb
0.990 0.769 0.981 Te
0.330 0.418 0.659 Te
0.670 0.582 0.341 Te
0.010 0.231 0.019 Te
0.325 0.893 0.650 Te
0.675 0.107 0.350 Te
0.833 0.658 0.666 Dy
0.167 0.342 0.334 Dy
0.500 0.000 0.000 Ag



DyTiAgPb | Alexandria via LeMat-Bulk | PBE-GGA | optimized geometry; DOS at the Fermi energy = 3.1 states/eV per cell; DFT total energy = -19.49 eV/cell; symmetry = F-43m (216)
1.0
5.061 0.000 0.000
2.531 4.383 0.000
2.531 1.461 4.132
Dy Ti Ag Pb
1 1 1 1
direct
0.750 0.750 0.750 Dy
0.250 0.250 0.250 Ti
0.500 0.500 0.500 Ag
0.000 0.000 0.000 Pb



DyTmAgPb | Alexandria via LeMat-Bulk | PBE-GGA | optimized geometry; DOS at the Fermi energy = 3.6 states/eV per cell; DFT total energy = -17.12 eV/cell; symmetry = F-43m (216)
1.0
-4.793 -2.031 -0.680
-2.485 -2.271 4.029
-4.173 2.338 2.164
Tm Ag Pb Dy
1 1 1 1
direct
0.500 0.500 0.500 Tm
0.250 0.250 0.250 Ag
0.750 0.750 0.750 Pb
0.000 0.000 0.000 Dy



DyZnAgPb | Alexandria via LeMat-Bulk | PBE-GGA | optimized geometry; DOS at the Fermi energy = 1.5 states/eV per cell; DFT total energy = -13.22 eV/cell; symmetry = F-43m (216)
1.0
5.040 0.000 0.000
2.520 4.365 0.000
2.520 1.455 4.115
Pb Ag Zn Dy
1 1 1 1
direct
0.500 0.500 0.500 Pb
0.250 0.250 0.250 Ag
0.750 0.750 0.750 Zn
0.000 0.000 0.000 Dy